Record 1
Hf3MnSb: optimized geometry, PBE-GGA.

POSCAR file:
```
Hf3MnSb
1.0
4.7925 0.0000 0.0000
0.0000 4.7925 0.0000
0.0000 0.0000 4.7925
Hf Mn Sb
3 1 1
Direct
0.0000 0.0000 0.5000
0.0000 0.5000 0.0000
0.5000 0.0000 0.0000
0.0000 0.0000 0.0000
0.5000 0.5000 0.5000
```

Summary:
Raw formation energy: 0.74 eV/f.u.
Size of the total moment: 0.0 μB/f.u.
Crystal system: cubic
Final energy: -8.48 eV/atom

---

Record 2
Pm5TlSn4: optimized geometry, PBE-GGA.

POSCAR file:
```
Pm5TlSn4
1.0
3.5251 0.0000 0.0000
0.0000 3.5251 0.0000
0.0000 0.0000 22.7085
Pm Tl Sn
5 1 4
Direct
0.0000 0.0000 0.0000
0.0000 0.0000 0.1999
0.0000 0.0000 0.3973
0.0000 0.0000 0.6027
0.0000 0.0000 0.8001
0.5000 0.5000 0.5000
0.5000 0.5000 0.0998
0.5000 0.5000 0.2993
0.5000 0.5000 0.7007
0.5000 0.5000 0.9002
```

Summary:
Size of the total moment: 0.0 μB/f.u.
Crystal system: tetragonal
ΔE_f: -0.615 eV per atom
Final energy: -4.83 eV/atom

---

Record 3
CsInI2: optimized geometry, PBE-GGA.

POSCAR file:
```
CsInI2
1.0
0.0000 4.4446 4.4446
4.4446 0.0000 4.4446
4.4446 4.4446 0.0000
Cs In I
1 1 2
Direct
0.0000 0.0000 0.0000
0.5000 0.5000 0.5000
0.2500 0.2500 0.2500
0.7500 0.7500 0.7500
```

Summary:
Raw formation energy: -3.73 eV/f.u.
Size of the total moment: 0.0 μB/f.u.
Crystal system: cubic
Final energy: -2.61 eV/atom

---

Record 4
NdHo2Tl3Se6: optimized geometry, PBE-GGA.

POSCAR file:
```
NdHo2Tl3Se6
1.0
3.6573 -6.3325 0.0000
3.6573 6.3325 0.0000
-2.4380 0.0000 7.7684
Nd Ho Tl Se
1 2 3 6
Direct
0.0000 0.0000 0.0000
0.3332 0.6668 0.0000
0.6668 0.3332 0.0000
0.1646 0.8354 0.5000
0.5000 0.5000 0.5000
0.8354 0.1646 0.5000
0.0688 0.4116 0.2064
0.2747 0.2747 0.7958
0.4116 0.0688 0.2064
0.5884 0.9312 0.7936
0.7253 0.7253 0.2042
0.9312 0.5884 0.7936
```

Summary:
Raw formation energy: -16.56 eV/f.u.
Size of the total moment: 0.0 μB/f.u.
Crystal system: monoclinic
Final energy: -4.87 eV/atom

---

Record 5
ScCd2: optimized geometry, PBE-GGA.

POSCAR file:
```
ScCd2
1.0
3.3270 0.0000 0.0000
-1.6635 2.8812 0.0000
0.0000 0.0000 7.2494
Sc Cd
1 2
Direct
0.0000 0.0000 0.0000
0.3333 0.6667 0.6676
0.6667 0.3333 0.3324
```

Summary:
Size of the total moment: 0.0 μB/f.u.
Crystal system: trigonal
ΔE_f: -0.103 eV per atom
Final energy: -2.82 eV/atom

---

Record 6
Ce2Sm3ErTm6: optimized geometry, PBE-GGA.

POSCAR file:
```
Ce2Sm3ErTm6
1.0
3.0576 -5.2935 0.0000
3.0576 5.2935 0.0000
-2.0353 0.0000 11.4447
Ce Sm Er Tm
2 3 1 6
Direct
0.1664 0.8336 0.0000
0.8336 0.1664 0.0000
0.0000 0.0000 0.5000
0.3341 0.6659 0.5000
0.6659 0.3341 0.5000
0.5000 0.5000 0.0000
0.0822 0.4174 0.7532
0.2473 0.2473 0.2469
0.4174 0.0822 0.7532
0.5826 0.9178 0.2468
0.7527 0.7527 0.7531
0.9178 0.5826 0.2468
```

Summary:
Size of the total moment: 1.8 μB/f.u.
Crystal system: monoclinic
ΔE_f: 0.044 eV per atom
Final energy: -4.74 eV/atom

---

Record 7
HoTl3In3I8: optimized geometry, PBE-GGA.

POSCAR file:
```
HoTl3In3I8
1.0
8.4822 -5.0076 0.0000
8.4822 5.0076 0.0000
-5.5187 0.0000 8.2669
Ho Tl In I
1 3 3 8
Direct
0.0000 0.0000 0.0000
0.0000 0.0000 0.5000
0.0000 0.5000 0.0000
0.5000 0.0000 0.0000
0.0000 0.5000 0.5000
0.5000 0.0000 0.5000
0.5000 0.5000 0.0000
0.2159 0.2159 0.2176
0.2162 0.7821 0.7842
0.2179 0.7838 0.2158
0.2516 0.2516 0.7478
0.7484 0.7484 0.2522
0.7821 0.2162 0.7842
0.7838 0.2179 0.2158
0.7841 0.7841 0.7824
```

Summary:
Raw formation energy: -10.01 eV/f.u.
Size of the total moment: 0.0 μB/f.u.
Crystal system: monoclinic
Final energy: -2.82 eV/atom

---

Record 8
SrMg2Ga: optimized geometry, PBE-GGA.

POSCAR file:
```
SrMg2Ga
1.0
-2.3179 2.3179 11.0066
2.3179 -2.3179 11.0066
2.3179 2.3179 -11.0066
Sr Mg Ga
2 4 2
Direct
0.0000 0.0000 0.0000
0.7500 0.2500 0.5000
0.1764 0.6250 0.0514
0.3750 0.4264 0.5514
0.5736 0.1250 0.9486
0.8750 0.8236 0.4486
0.2500 0.7500 0.5000
0.5000 0.5000 0.0000
```

Summary:
Size of the total moment: 0.0 μB/f.u.
Crystal system: tetragonal
ΔE_f: 0.095 eV per atom
Final energy: -1.88 eV/atom

---

Record 9
Er3ScSb2C: optimized geometry, PBE-GGA.

POSCAR file:
```
Er3ScSb2C
1.0
-2.2525 2.3547 7.8262
2.2525 -2.3547 7.8262
2.2525 2.3547 -7.8262
Er Sc Sb C
3 1 2 1
Direct
0.0000 0.0000 0.0000
0.3422 0.8422 0.5000
0.6578 0.1578 0.5000
0.5000 0.5000 0.0000
0.1421 0.6421 0.5000
0.8579 0.3579 0.5000
0.5000 0.0000 0.5000
```

Summary:
Raw formation energy: -5.84 eV/f.u.
Size of the total moment: 0.0 μB/f.u.
Crystal system: orthorhombic
Final energy: -6.19 eV/atom

---

Record 10
Cs2NaCdSb2: optimized geometry, PBE-GGA.

POSCAR file:
```
Cs2NaCdSb2
1.0
-3.7517 8.7197 3.7083
3.7517 -8.7197 3.7083
3.7517 8.7197 -3.7083
Cs Na Cd Sb
4 2 2 4
Direct
0.1689 0.2409 0.4098
0.3311 0.7409 0.0719
0.6689 0.2591 0.9281
0.8311 0.7591 0.5902
0.2500 0.2500 0.0000
0.7500 0.7500 0.0000
0.2500 0.7500 0.5000
0.7500 0.2500 0.5000
0.0923 0.7219 0.8142
0.4077 0.2219 0.6296
0.5923 0.7781 0.3704
0.9077 0.2781 0.1858
```

Summary:
Raw formation energy: -2.35 eV/f.u.
Size of the total moment: 0.0 μB/f.u.
Crystal system: orthorhombic
Final energy: -2.42 eV/atom

---

Record 11
ErZn2Rh2: optimized geometry, PBE-GGA.

POSCAR file:
```
ErZn2Rh2
1.0
-1.9849 1.9849 11.1420
1.9849 -1.9849 11.1420
1.9849 1.9849 -11.1420
Er Zn Rh
2 4 4
Direct
0.1302 0.1302 0.0000
0.8698 0.8698 0.0000
0.0000 0.5000 0.5000
0.3196 0.3196 0.0000
0.5000 0.0000 0.5000
0.6804 0.6804 0.0000
0.2500 0.7500 0.5000
0.4292 0.4292 0.0000
0.5708 0.5708 0.0000
0.7500 0.2500 0.5000
```

Summary:
Size of the total moment: 0.0 μB/f.u.
Crystal system: tetragonal
ΔE_f: -0.523 eV per atom
Final energy: -4.89 eV/atom

---

Record 12
Ho3Tl4SbTe8: optimized geometry, PBE-GGA.

POSCAR file:
```
Ho3Tl4SbTe8
1.0
4.4584 2.5741 8.1312
-4.4584 2.5741 8.1312
0.0000 -5.1481 8.1312
Ho Tl Sb Te
3 4 1 8
Direct
0.0000 0.5000 0.5000
0.5000 0.0000 0.5000
0.5000 0.5000 0.0000
0.0000 0.0000 0.5000
0.0000 0.5000 0.0000
0.5000 0.0000 0.0000
0.5000 0.5000 0.5000
0.0000 0.0000 0.0000
0.2377 0.2377 0.7363
0.2377 0.7363 0.2377
0.2625 0.2625 0.2625
0.2637 0.7623 0.7623
0.7363 0.2377 0.2377
0.7375 0.7375 0.7375
0.7623 0.2637 0.7623
0.7623 0.7623 0.2637
```

Summary:
Raw formation energy: -13.41 eV/f.u.
Size of the total moment: 0.0 μB/f.u.
Crystal system: trigonal
Final energy: -4.12 eV/atom